# 1
# LiAg3Pd12

A relaxed structure of LiAg3Pd12 (GGA-PBE, the Alexandria database).

a = 3.9773 Å, b = 3.9773 Å, c = 15.7683 Å
α = 90.00°, β = 90.00°, γ = 90.00°
Last column: nearest neighbours and their distance in Å.
Fractional positions:
Pd  0.5000  0.0000  0.1182  2 Li 2.73, 8 Pd 2.73-2.82, 2 Ag 2.83
Pd  0.0000  0.5000  0.3728  8 Pd 2.81-2.83, 4 Ag 2.82-2.83
Pd  0.5000  0.0000  0.6272  8 Pd 2.81-2.83, 4 Ag 2.82-2.83
Pd  0.5000  0.5000  0.5000  4 Ag 2.81, 8 Pd 2.83
Pd  0.0000  0.5000  0.1182  2 Li 2.73, 8 Pd 2.73-2.82, 2 Ag 2.83
Pd  0.5000  0.5000  0.0000  8 Pd 2.73, 4 Li 2.81
Pd  0.0000  0.5000  0.8818  2 Li 2.73, 8 Pd 2.73-2.82, 2 Ag 2.83
Pd  0.5000  0.5000  0.7548  4 Ag 2.81, 8 Pd 2.82-2.83
Pd  0.5000  0.0000  0.3728  8 Pd 2.81-2.83, 4 Ag 2.82-2.83
Pd  0.5000  0.0000  0.8818  2 Li 2.73, 8 Pd 2.73-2.82, 2 Ag 2.83
Pd  0.0000  0.5000  0.6272  8 Pd 2.81-2.83, 4 Ag 2.82-2.83
Pd  0.5000  0.5000  0.2452  4 Ag 2.81, 8 Pd 2.82-2.83
Ag  0.0000  0.0000  0.7545  12 Pd 2.81-2.83
Ag  0.0000  0.0000  0.5000  12 Pd 2.81-2.83
Ag  0.0000  0.0000  0.2455  12 Pd 2.81-2.83
Li  0.0000  0.0000  0.0000  12 Pd 2.73-2.81

* raw total energy: -4.619 eV per atom
* formation enthalpy at 0 K: -0.070 eV/atom
* mass density: 10.70 g cm⁻³

# 2
# K3Tl8Pd3

A relaxed structure of K3Tl8Pd3 (GGA-PBE, the Alexandria database).

a = 5.0057 Å, b = 9.5401 Å, c = 9.5401 Å
α = 74.50°, β = 74.79°, γ = 74.79°
Last column: nearest neighbours and their distance in Å.
Fractional positions:
Tl  0.6089  0.6866  0.0957  3 Pd 2.83-2.98, 1 Tl 3.12
Tl  0.8255  0.5313  0.8177  1 Pd 2.83
Tl  0.8255  0.8177  0.5313  1 Pd 2.83
Tl  0.1745  0.1823  0.4687  1 Pd 2.83
Tl  0.1745  0.4687  0.1823  1 Pd 2.83
Tl  0.3911  0.3134  0.9043  3 Pd 2.83-2.98, 1 Tl 3.12
Tl  0.6089  0.0957  0.6866  3 Pd 2.83-2.98, 1 Tl 3.12
Tl  0.3911  0.9043  0.3134  3 Pd 2.83-2.98, 1 Tl 3.12
K  0.1625  0.8375  0.8375  4 Pd 3.42-3.63, 8 Tl 3.53-3.80
K  0.8375  0.1625  0.1625  4 Pd 3.42-3.63, 8 Tl 3.53-3.80
K  0.5000  0.5000  0.5000  12 Tl 3.75-3.91, 4 Pd 3.90
Pd  0.0000  0.7585  0.2415  6 Tl 2.83-2.98
Pd  0.0000  0.2415  0.7585  6 Tl 2.83-2.98
Pd  0.5000  0.0000  0.0000  4 Tl 2.83

* raw total energy: -2.797 eV per atom
* formation enthalpy at 0 K: -0.097 eV/atom
* mass density: 8.30 g cm⁻³
* relative energy among the computed polymorphs: 0.034 eV per atom

# 3
# Zr4Sc5Ag

A relaxed structure of Zr4Sc5Ag (GGA-PBE, the Alexandria database).

a = 3.2147 Å, b = 3.2147 Å, c = 22.0606 Å
α = 90.00°, β = 90.00°, γ = 90.00°
Last column: nearest neighbours and their distance in Å.
Fractional positions:
Sc  0.5000  0.5000  0.0895  4 Ag 3.01, 4 Zr 3.16, 4 Sc 3.21
Sc  0.5000  0.5000  0.5000  4 Sc 3.21, 8 Zr 3.22
Sc  0.5000  0.5000  0.7054  8 Zr 3.20-3.25, 4 Sc 3.21
Sc  0.5000  0.5000  0.2946  8 Zr 3.20-3.25, 4 Sc 3.21
Sc  0.5000  0.5000  0.9105  4 Ag 3.01, 4 Zr 3.16, 4 Sc 3.21
Zr  0.0000  0.0000  0.1890  8 Sc 3.16-3.25, 4 Zr 3.21
Zr  0.0000  0.0000  0.8110  8 Sc 3.16-3.25, 4 Zr 3.21
Zr  0.0000  0.0000  0.6034  8 Sc 3.20-3.22, 4 Zr 3.21
Zr  0.0000  0.0000  0.3966  8 Sc 3.20-3.22, 4 Zr 3.21
Ag  0.0000  0.0000  0.0000  8 Sc 3.01, 4 Ag 3.21

* raw total energy: -6.919 eV per atom
* formation enthalpy at 0 K: -0.049 eV/atom
* mass density: 5.08 g cm⁻³

# 4
# Ce2Np3PaP6

A relaxed structure of Ce2Np3PaP6 (GGA-PBE, the Alexandria database).

a = 6.9578 Å, b = 6.9578 Å, c = 6.9181 Å
α = 99.65°, β = 99.65°, γ = 119.97°
Last column: nearest neighbours and their distance in Å.
Fractional positions:
P  0.4122  0.0851  0.2558  3 Np 2.80-2.83, 1 Pa 2.82, 2 Ce 2.88
P  0.7590  0.7590  0.2570  3 Np 2.81-2.85, 1 Pa 2.82, 2 Ce 2.88
P  0.0851  0.4122  0.2558  3 Np 2.80-2.83, 1 Pa 2.82, 2 Ce 2.88
P  0.5878  0.9149  0.7442  3 Np 2.80-2.83, 1 Pa 2.82, 2 Ce 2.88
P  0.9149  0.5878  0.7442  3 Np 2.80-2.83, 1 Pa 2.82, 2 Ce 2.88
P  0.2410  0.2410  0.7430  3 Np 2.81-2.85, 1 Pa 2.82, 2 Ce 2.88
Np  0.8313  0.1687  0.5000  6 P 2.80-2.83
Np  0.5000  0.5000  0.5000  6 P 2.80-2.85
Np  0.1687  0.8313  0.5000  6 P 2.80-2.83
Pa  0.0000  0.0000  0.0000  6 P 2.82
Ce  0.6663  0.3337  0.0000  6 P 2.88
Ce  0.3337  0.6663  0.0000  6 P 2.88

* raw total energy: -8.874 eV per atom
* formation enthalpy at 0 K: -1.154 eV/atom
* mass density: 8.55 g cm⁻³

# 5
# BeHgSe

A relaxed structure of BeHgSe (GGA-PBE, the Alexandria database).

a = 3.6202 Å, b = 5.4605 Å, c = 7.5312 Å
α = 90.00°, β = 103.49°, γ = 90.00°
Last column: nearest neighbours and their distance in Å.
Fractional positions:
Be  0.7873  0.1881  0.0744  3 Se 2.18
Be  0.2127  0.6881  0.9256  3 Se 2.18
Se  0.6861  0.4778  0.8700  3 Be 2.18
Se  0.3139  0.9778  0.1300  3 Be 2.18
Hg  0.0629  0.9536  0.6164  1 Be 2.69
Hg  0.9371  0.4536  0.3836  1 Be 2.69

* raw total energy: -2.893 eV per atom
* mass density: 6.62 g cm⁻³
* relative energy among the computed polymorphs: 0.019 eV per atom
* ΔE_f (raw): -0.3888 eV/atom

# 6
# Ho7Er4Th

A relaxed structure of Ho7Er4Th (GGA-PBE, the Alexandria database).

a = 6.9256 Å, b = 6.7308 Å, c = 12.0146 Å
α = 72.37°, β = 44.70°, γ = 75.98°
Last column: nearest neighbours and their distance in Å.
Fractional positions:
Ho  0.5000  0.0000  0.0000  4 Ho 3.31-3.55, 2 Th 3.46, 4 Er 3.62-3.65
Ho  0.9361  0.6764  0.3286  4 Ho 3.21-3.55, 5 Er 3.37-3.57
Ho  0.2582  0.8231  0.6332  4 Ho 3.30-3.45, 5 Er 3.44-3.62
Ho  0.7765  0.5201  0.9740  5 Ho 3.21-3.51, 2 Er 3.31-3.52, 1 Th 3.49
Ho  0.2235  0.4799  0.0260  5 Ho 3.21-3.51, 2 Er 3.31-3.52, 1 Th 3.49
Ho  0.0639  0.3236  0.6714  4 Ho 3.21-3.55, 5 Er 3.37-3.57
Ho  0.7418  0.1769  0.3668  4 Ho 3.30-3.45, 5 Er 3.44-3.62
Er  0.4542  0.6584  0.3157  7 Ho 3.31-3.62, 2 Er 3.48-3.57, 1 Th 3.54
Er  0.7245  0.8142  0.6655  7 Ho 3.44-3.65, 4 Er 3.48-3.77, 1 Th 3.77
Er  0.2755  0.1858  0.3345  7 Ho 3.44-3.65, 4 Er 3.48-3.77, 1 Th 3.77
Er  0.5458  0.3416  0.6843  7 Ho 3.31-3.62, 2 Er 3.48-3.57, 1 Th 3.54
Th  0.0000  0.0000  0.0000  8 Ho 3.46-3.87, 4 Er 3.54-3.77

* raw total energy: -4.720 eV per atom
* formation enthalpy at 0 K: 0.090 eV/atom
* mass density: 9.10 g cm⁻³
* relative energy among the computed polymorphs: 0.000 eV per atom

# 7
# Ca2NbBr

A relaxed structure of Ca2NbBr (GGA-PBE, the Alexandria database).

a = 8.3681 Å, b = 8.3681 Å, c = 6.9692 Å
α = 53.10°, β = 53.10°, γ = 90.00°
Last column: nearest neighbours and their distance in Å.
Fractional positions:
Ca  0.3750  0.4078  0.7500  2 Br 2.92
Ca  0.1578  0.6250  0.2500  2 Br 2.92
Ca  0.5922  0.1250  0.2500  2 Br 2.92
Ca  0.8750  0.8422  0.7500  2 Br 2.92
Br  0.2500  0.7500  0.5000  4 Ca 2.92
Br  0.5000  0.5000  0.0000  4 Ca 2.92
Nb  0.0000  0.0000  0.0000  4 Ca 3.29, 2 Br 3.68
Nb  0.7500  0.2500  0.5000  4 Ca 3.29, 2 Br 3.68

* raw total energy: -3.608 eV per atom
* mass density: 3.26 g cm⁻³
* relative energy among the computed polymorphs: 0.000 eV per atom
* ΔE_f (raw): 0.3287 eV/atom

# 8
# Zr2SiIr

A relaxed structure of Zr2SiIr (GGA-PBE, the Alexandria database).

a = 4.9072 Å, b = 4.9072 Å, c = 3.1018 Å
α = 89.97°, β = 89.97°, γ = 107.77°
Last column: nearest neighbours and their distance in Å.
Fractional positions:
Zr  0.0000  0.0000  0.0000  4 Zr 2.89-3.10, 4 Si 2.90, 4 Ir 2.90
Zr  0.5000  0.5000  0.0000  4 Zr 2.89-3.10, 4 Ir 2.90, 4 Si 2.90
Ir  0.5000  0.0000  0.5000  2 Si 2.89, 8 Zr 2.90, 2 Ir 3.10
Si  0.0000  0.5000  0.5000  2 Ir 2.89, 8 Zr 2.90, 2 Si 3.10

* raw total energy: -8.484 eV per atom
* mass density: 9.40 g cm⁻³
* ΔE_f (raw): -0.6389 eV/atom